Mn10FeN8: relaxed, PBE-GGA.

As for the total energy: -170.028 eV for the cell shown. Its total moment is 18.734 μB per formula unit. For the volume, the calculation gives 10.59 Å³ per atom.

a b c (Å): 8.2239 3.9446 7.1532
angles (deg): 90.00 64.10 76.12
Last column: nearest neighbours and their distance in Å.
Fractional positions:
Mn 0.3996 0.8002 0.7999  3 N 1.84-1.85
Mn 0.6004 0.1998 0.2001  3 N 1.84-1.85
Mn 0.9988 0.0006 0.7400  4 N 1.99-2.01
Mn 0.0012 0.9994 0.2600  4 N 1.99-2.01
Mn 0.7337 0.6332 0.3628  4 N 1.91-2.00
Mn 0.2663 0.3668 0.6372  4 N 1.91-2.00
Mn 0.7310 0.6345 0.9033  4 N 1.91-2.00
Mn 0.2690 0.3655 0.0967  4 N 1.91-2.00
Mn 0.3258 0.8371 0.3381  4 N 1.97-1.98
Mn 0.6742 0.1629 0.6619  4 N 1.97-1.98
Fe 0.0000 0.5000 0.5000  2 N 1.94
N 0.2819 0.8591 0.0878  5 Mn 1.84-2.01
N 0.7181 0.1409 0.9122  5 Mn 1.84-2.01
N 0.2787 0.8607 0.6335  5 Mn 1.84-2.01
N 0.7213 0.1393 0.3665  5 Mn 1.84-2.01
N 0.6593 0.6703 0.6692  5 Mn 1.85-2.00
N 0.3407 0.3297 0.3308  5 Mn 1.85-2.00
N 0.0015 0.4992 0.2277  4 Mn 1.91-1.99, 1 Fe 1.94
N 0.9985 0.5008 0.7723  4 Mn 1.91-1.99, 1 Fe 1.94